A plane-wave DFT calculation with PBE-GGA was carried out for a relaxed K2HgSbH crystal.

Values from the calculation:
DOS at the Fermi energy, states/eV/f.u.: 1.925
Energy, eV per atom: -2.186
Energy relative to the lowest polymorph listed for this composition, meV per atom: 0.0

Structure (extended XYZ):
```
5
Lattice="5.9759 0.0000 0.0000 0.0000 5.9759 0.0000 0.0000 0.0000 4.1825" Properties=species:S:1:pos:R:3 pbc="T T T"
K 0.0000 2.9880 0.0000
K 2.9880 0.0000 0.0000
Hg 0.0000 0.0000 2.0912
Sb 2.9880 2.9880 2.0912
H 2.9880 2.9880 0.0000
```